No. 1
This record from Alexandria via LeMat-Bulk describes a geometry-optimized Zn2PtCl structure. The functional is PBE.

Computed properties:
**Energy**: -2.9709 eV/atom
**Space-group type**: C2/m, No. 12
**Density**: 7.74 g/cm³
**Raw formation energy**: -362.1 meV/atom
**Crystal system**: monoclinic

a b c (Å): 3.9188 3.9188 7.9807
angles (deg): 64.64 64.64 45.57
Element x y z (fractional)
Zn1 0.0600 0.0600 0.0430
Zn2 0.4400 0.4400 0.4570
Cl1 0.7500 0.7500 0.7500
Pt1 0.2500 0.2500 0.2500

No. 2
This record from Alexandria via LeMat-Bulk describes a geometry-optimized Zn3PtCl structure. The functional is PBE.

Computed properties:
**Energy**: -1.5818 eV/atom
**Space-group type**: Pm-3m, No. 221
**Density**: 7.05 g/cm³
**Raw formation energy**: 760.0 meV/atom
**Crystal system**: cubic

a b c (Å): 4.6506 4.6506 4.6506
angles (deg): 90.00 90.00 90.00
Element x y z (fractional)
Zn1 0.5000 0.0000 0.0000
Zn2 0.0000 0.5000 0.0000
Zn3 0.0000 0.0000 0.5000
Pt1 0.5000 0.5000 0.5000
Cl1 0.0000 0.0000 0.0000

No. 3
This record from Alexandria via LeMat-Bulk describes a geometry-optimized Zn2PtCl structure. The functional is PBE.

Computed properties:
**Energy**: -2.5380 eV/atom
**Space-group type**: I4/mmm, No. 139
**Density**: 8.79 g/cm³
**Raw formation energy**: 70.8 meV/atom
**Crystal system**: tetragonal

a b c (Å): 4.4601 4.4601 4.4601
angles (deg): 109.69 109.69 109.03
Element x y z (fractional)
Zn1 0.0000 0.0000 0.0000
Zn2 0.5000 0.5000 0.0000
Cl1 0.2500 0.7500 0.5000
Pt1 0.7500 0.2500 0.5000

No. 4
This record from Alexandria via LeMat-Bulk describes a geometry-optimized ZnPt3Cl structure. The functional is PBE.

Computed properties:
**Energy**: -3.2169 eV/atom
**Space-group type**: Pm-3m, No. 221
**Density**: 10.94 g/cm³
**Raw formation energy**: 1031.7 meV/atom
**Crystal system**: cubic

a b c (Å): 4.7054 4.7054 4.7054
angles (deg): 90.00 90.00 90.00
Last column: magnetic moment on the atom in μB.
Element x y z (fractional)
Cl1 0.5000 0.5000 0.5000  0.10
Pt1 0.0000 0.0000 0.5000  0.33
Pt2 0.0000 0.5000 0.0000  0.25
Pt3 0.5000 0.0000 0.0000  0.18
Zn1 0.0000 0.0000 0.0000  -0.01

No. 5
This record from Alexandria via LeMat-Bulk describes a geometry-optimized Zn2PtCl structure. The functional is PBE.

Computed properties:
**Energy**: -2.9744 eV/atom
**Space-group type**: Imm2, No. 44
**Density**: 7.27 g/cm³
**Raw formation energy**: -365.6 meV/atom
**Crystal system**: orthorhombic

a b c (Å): 8.0136 8.0136 8.0136
angles (deg): 158.29 154.29 33.90
Element x y z (fractional)
Pt1 0.1983 0.6983 0.5000
Cl1 0.4768 0.4768 0.0000
Zn1 0.7628 0.2628 0.5000
Zn2 0.0621 0.0621 0.0000

No. 6
This record from Alexandria via LeMat-Bulk describes a geometry-optimized Zn2PtCl structure. The functional is PBE.

Computed properties:
**Energy**: -2.5258 eV/atom
**Space-group type**: Fm-3m, No. 225
**Density**: 8.87 g/cm³
**Raw formation energy**: 83.1 meV/atom
**Crystal system**: cubic

a b c (Å): 4.5739 4.5739 4.5739
angles (deg): 60.00 60.00 60.00
Element x y z (fractional)
Zn1 0.2500 0.2500 0.2500
Zn2 0.7500 0.7500 0.7500
Pt1 0.5000 0.5000 0.5000
Cl1 0.0000 0.0000 0.0000

No. 7
This record from Alexandria via LeMat-Bulk describes a geometry-optimized ZnPt3Cl structure. The functional is PBE.

Computed properties:
**Energy**: -3.2810 eV/atom
**Space-group type**: Pm-3m, No. 221
**Density**: 11.93 g/cm³
**Raw formation energy**: 967.6 meV/atom
**Crystal system**: cubic

a b c (Å): 4.5705 4.5705 4.5705
angles (deg): 90.00 90.00 90.00
Element x y z (fractional)
Cl1 0.0000 0.0000 0.0000
Pt1 0.5000 0.0000 0.0000
Pt2 0.0000 0.0000 0.5000
Pt3 0.0000 0.5000 0.0000
Zn1 0.5000 0.5000 0.5000

No. 8
This record from Alexandria via LeMat-Bulk describes a geometry-optimized ZnPtCl structure. The functional is PBE.

Computed properties:
**Energy**: -3.2978 eV/atom
**Space-group type**: P3m1, No. 156
**Density**: 9.09 g/cm³
**Raw formation energy**: -244.0 meV/atom
**Crystal system**: trigonal

a b c (Å): 3.1110 3.1110 6.4494
angles (deg): 90.00 90.00 120.00
Element x y z (fractional)
Cl1 0.0000 0.0000 0.9320
Zn1 0.3333 0.6667 0.6782
Pt1 0.6667 0.3333 0.3898

No. 9
This record from Alexandria via LeMat-Bulk describes a geometry-optimized Zn2PtCl structure. The functional is PBE.

Computed properties:
**Energy**: -2.9269 eV/atom
**Space-group type**: R-3m, No. 166
**Density**: 8.59 g/cm³
**Raw formation energy**: -318.1 meV/atom
**Crystal system**: trigonal

a b c (Å): 7.7964 7.7964 7.7964
angles (deg): 24.18 24.18 24.18
Element x y z (fractional)
Cl1 0.2500 0.2500 0.2500
Zn1 0.4950 0.4950 0.4950
Zn2 0.0050 0.0050 0.0050
Pt1 0.7500 0.7500 0.7500

No. 10
This record from Alexandria via LeMat-Bulk describes a geometry-optimized ZnPtCl structure. The functional is PBE.

Computed properties:
**Energy**: -2.9734 eV/atom
**Space-group type**: F-43m, No. 216
**Density**: 8.48 g/cm³
**Raw formation energy**: 80.4 meV/atom
**Crystal system**: cubic

a b c (Å): 4.3432 4.3432 4.3432
angles (deg): 60.00 60.00 60.00
Element x y z (fractional)
Zn1 0.0000 0.0000 0.0000
Pt1 0.7500 0.7500 0.7500
Cl1 0.5000 0.5000 0.5000

No. 11
This record from Alexandria via LeMat-Bulk describes a geometry-optimized ZnPtCl structure. The functional is PBE.

Computed properties:
**Energy**: -3.1400 eV/atom
**Space-group type**: I4mm, No. 107
**Density**: 9.57 g/cm³
**Raw formation energy**: -86.2 meV/atom
**Crystal system**: tetragonal

a b c (Å): 6.0425 6.0425 6.0425
angles (deg): 151.12 151.12 41.29
Element x y z (fractional)
Cl1 0.0158 0.0158 0.0000
Zn1 0.6738 0.6738 0.0000
Pt1 0.3104 0.3104 0.0000

No. 12
This record from Alexandria via LeMat-Bulk describes a geometry-optimized ZnPtCl structure. The functional is PBE.

Computed properties:
**Energy**: -2.9262 eV/atom
**Space-group type**: P3m1, No. 156
**Density**: 9.58 g/cm³
**Raw formation energy**: 127.6 meV/atom
**Crystal system**: trigonal

a b c (Å): 4.4163 4.4163 3.0365
angles (deg): 90.00 90.00 120.00
Element x y z (fractional)
Pt1 0.3333 0.6667 0.2939
Zn1 0.6667 0.3333 0.5814
Cl1 0.0000 0.0000 0.1248

No. 13
This record from Alexandria via LeMat-Bulk describes a geometry-optimized ZnPtCl3 structure. The functional is PBE.

Computed properties:
**Energy**: -2.6300 eV/atom
**Space-group type**: Pm-3m, No. 221
**Density**: 5.21 g/cm³
**Raw formation energy**: -59.1 meV/atom
**Crystal system**: cubic

a b c (Å): 4.8902 4.8902 4.8902
angles (deg): 90.00 90.00 90.00
Element x y z (fractional)
Cl1 0.0000 0.5000 0.0000
Cl2 0.0000 0.0000 0.5000
Cl3 0.5000 0.0000 0.0000
Pt1 0.0000 0.0000 0.0000
Zn1 0.5000 0.5000 0.5000

No. 14
This record from Alexandria via LeMat-Bulk describes a geometry-optimized Zn3PtCl structure. The functional is PBE.

Computed properties:
**Energy**: -2.5369 eV/atom
**Space-group type**: Pm-3m, No. 221
**Density**: 6.06 g/cm³
**Raw formation energy**: -195.1 meV/atom
**Crystal system**: cubic

a b c (Å): 4.8910 4.8910 4.8910
angles (deg): 90.00 90.00 90.00
Element x y z (fractional)
Cl1 0.5000 0.5000 0.5000
Zn1 0.0000 0.5000 0.0000
Zn2 0.0000 0.0000 0.5000
Zn3 0.5000 0.0000 0.0000
Pt1 0.0000 0.0000 0.0000

No. 15
This record from Alexandria via LeMat-Bulk describes a geometry-optimized Zn2PtCl structure. The functional is PBE.

Computed properties:
**Energy**: -2.7557 eV/atom
**Space-group type**: R3m, No. 160
**Density**: 8.31 g/cm³
**Raw formation energy**: -146.9 meV/atom
**Crystal system**: trigonal

a b c (Å): 8.9461 8.9461 8.9461
angles (deg): 19.85 19.85 19.85
Element x y z (fractional)
Pt1 0.7329 0.7329 0.7329
Cl1 0.5212 0.5212 0.5212
Zn1 0.9957 0.9957 0.9957
Zn2 0.2503 0.2503 0.2503

No. 16
This record from Alexandria via LeMat-Bulk describes a geometry-optimized Zn2PtCl structure. The functional is PBE.

Computed properties:
**Energy**: -2.6505 eV/atom
**Space-group type**: Cmm2, No. 35
**Density**: 8.58 g/cm³
**Raw formation energy**: -41.7 meV/atom
**Crystal system**: orthorhombic

a b c (Å): 3.0251 3.0251 8.5962
angles (deg): 90.00 90.00 117.29
Element x y z (fractional)
Cl1 0.0000 0.0000 0.4563
Pt1 0.5000 0.5000 0.7820
Zn1 0.5000 0.5000 0.2522
Zn2 0.0000 0.0000 0.0095

No. 17
This record from Alexandria via LeMat-Bulk describes a geometry-optimized Zn2PtCl structure. The functional is PBE.

Computed properties:
**Energy**: -2.8513 eV/atom
**Space-group type**: Pmmm, No. 47
**Density**: 9.21 g/cm³
**Raw formation energy**: -242.5 meV/atom
**Crystal system**: orthorhombic

a b c (Å): 4.7664 4.6966 2.9090
angles (deg): 90.00 90.00 90.00
Element x y z (fractional)
Zn1 0.5000 0.5000 0.0000
Zn2 0.0000 0.0000 0.0000
Cl1 0.5000 0.0000 0.5000
Pt1 0.0000 0.5000 0.5000

No. 18
This record from Alexandria via LeMat-Bulk describes a geometry-optimized ZnPtCl4 structure. The functional is PBE.

Computed properties:
**Energy**: -1.4500 eV/atom
**Space-group type**: F-43m, No. 216
**Density**: 5.18 g/cm³
**Raw formation energy**: 1000.2 meV/atom
**Crystal system**: cubic

a b c (Å): 5.6694 5.6694 5.6694
angles (deg): 60.00 60.00 60.00
Element x y z (fractional)
Cl1 0.8752 0.3749 0.3749
Cl2 0.3749 0.3749 0.8752
Cl3 0.3749 0.8752 0.3749
Cl4 0.3749 0.3749 0.3749
Zn1 0.0000 0.0000 0.0000
Pt1 0.7500 0.7500 0.7500

No. 19
This record from Alexandria via LeMat-Bulk describes a geometry-optimized Zn2PtCl2 structure. The functional is PBE.

Computed properties:
**Energy**: -2.2040 eV/atom
**Space-group type**: P4/mbm, No. 127
**Density**: 7.14 g/cm³
**Raw formation energy**: 252.4 meV/atom
**Crystal system**: tetragonal

a b c (Å): 7.6363 7.6363 3.1658
angles (deg): 90.00 90.00 90.00
Element x y z (fractional)
Cl1 0.6290 0.1290 0.0000
Cl2 0.1290 0.3710 0.0000
Cl3 0.3710 0.8710 0.0000
Cl4 0.8710 0.6290 0.0000
Pt1 0.5000 0.5000 0.0000
Pt2 0.0000 0.0000 0.0000
Zn1 0.7969 0.2969 0.5000
Zn2 0.2031 0.7031 0.5000
Zn3 0.7031 0.7969 0.5000
Zn4 0.2969 0.2031 0.5000

No. 20
This record from Alexandria via LeMat-Bulk describes a geometry-optimized ZnPtCl structure. The functional is PBE.

Computed properties:
**Energy**: -3.1936 eV/atom
**Space-group type**: Fmm2, No. 42
**Density**: 9.20 g/cm³
**Raw formation energy**: -139.8 meV/atom
**Crystal system**: orthorhombic

a b c (Å): 6.8695 6.5754 3.0449
angles (deg): 82.37 71.57 26.06
Element x y z (fractional)
Pt1 0.3109 0.3109 0.6891
Cl1 0.0271 0.0271 0.9729
Zn1 0.6620 0.6620 0.3380

No. 21
This record from Alexandria via LeMat-Bulk describes a geometry-optimized ZrPtCl structure. The functional is PBE.

Computed properties:
**Energy**: -6.2540 eV/atom
**Space-group type**: P3m1, No. 156
**Density**: 8.42 g/cm³
**Raw formation energy**: -775.5 meV/atom
**Crystal system**: trigonal

a b c (Å): 3.1354 3.1354 7.4492
angles (deg): 90.00 90.00 120.00
Element x y z (fractional)
Zr1 0.3333 0.6667 0.6788
Cl1 0.0000 0.0000 0.9316
Pt1 0.6667 0.3333 0.3896

No. 22
This record from Alexandria via LeMat-Bulk describes a geometry-optimized ZrPt3Cl structure. The functional is PBE.

Computed properties:
**Energy**: -4.7913 eV/atom
**Space-group type**: Pm-3m, No. 221
**Density**: 9.28 g/cm³
**Raw formation energy**: 912.2 meV/atom
**Crystal system**: cubic

a b c (Å): 5.0315 5.0315 5.0315
angles (deg): 90.00 90.00 90.00
Element x y z (fractional)
Cl1 0.5000 0.5000 0.5000
Zr1 0.0000 0.0000 0.0000
Pt1 0.0000 0.5000 0.0000
Pt2 0.0000 0.0000 0.5000
Pt3 0.5000 0.0000 0.0000

No. 23
This record from Alexandria via LeMat-Bulk describes a geometry-optimized ZrPtCl structure. The functional is PBE.

Computed properties:
**Energy**: -6.7373 eV/atom
**Space-group type**: I-4m2, No. 119
**Density**: 7.79 g/cm³
**Raw formation energy**: -1258.7 meV/atom
**Crystal system**: tetragonal

a b c (Å): 3.4635 3.4635 22.8619
angles (deg): 90.00 90.00 90.00
Element x y z (fractional)
Zr1 0.0000 0.5000 0.5931
Zr2 0.0000 0.5000 0.9069
Zr3 0.5000 0.0000 0.4069
Zr4 0.5000 0.0000 0.0931
Pt1 0.5000 0.0000 0.9638
Pt2 0.0000 0.5000 0.4638
Pt3 0.5000 0.0000 0.5362
Pt4 0.0000 0.5000 0.0362
Cl1 0.0000 0.0000 0.1777
Cl2 0.5000 0.5000 0.6777
Cl3 0.5000 0.5000 0.3223
Cl4 0.0000 0.0000 0.8223

No. 24
This record from Alexandria via LeMat-Bulk describes a geometry-optimized ZrPtCl structure. The functional is PBE.

Computed properties:
**Energy**: -6.6454 eV/atom
**Space-group type**: Cm, No. 8
**Density**: 7.47 g/cm³
**Raw formation energy**: -1166.9 meV/atom
**Crystal system**: monoclinic

a b c (Å): 11.5441 3.7833 6.5534
angles (deg): 90.00 90.25 90.00
Element x y z (fractional)
Zr1 0.1648 0.5000 0.2489
Zr2 0.7585 0.5000 0.9118
Zr3 0.1648 0.0000 0.7489
Zr4 0.7585 0.0000 0.4118
Pt1 0.8844 0.0000 0.7459
Pt2 0.0386 0.5000 0.5810
Pt3 0.8844 0.5000 0.2459
Pt4 0.0386 0.0000 0.0810
Cl1 0.3120 0.5000 0.9166
Cl2 0.6128 0.0000 0.0772
Cl3 0.3120 0.0000 0.4166
Cl4 0.6128 0.5000 0.5772

No. 25
This record from Alexandria via LeMat-Bulk describes a geometry-optimized ZrPtCl4 structure. The functional is PBE.

Computed properties:
**Energy**: -3.0856 eV/atom
**Space-group type**: F-43m, No. 216
**Density**: 5.96 g/cm³
**Raw formation energy**: 577.0 meV/atom
**Crystal system**: cubic

a b c (Å): 5.5263 5.5263 5.5263
angles (deg): 60.00 60.00 60.00
Last column: magnetic moment on the atom in μB.
Element x y z (fractional)
Cl1 0.3750 0.3750 0.8751  0.21
Cl2 0.3750 0.3750 0.3750  0.21
Cl3 0.3750 0.8751 0.3750  0.21
Cl4 0.8751 0.3750 0.3750  0.21
Zr1 0.0000 0.0000 0.0000  0.08
Pt1 0.7500 0.7500 0.7500  0.03

No. 26
This record from Alexandria via LeMat-Bulk describes a geometry-optimized ZrPtCl structure. The functional is PBE.

Computed properties:
**Energy**: -6.0916 eV/atom
**Space-group type**: F-43m, No. 216
**Density**: 8.22 g/cm³
**Raw formation energy**: -613.1 meV/atom
**Crystal system**: cubic

a b c (Å): 4.5131 4.5131 4.5131
angles (deg): 60.00 60.00 60.00
Element x y z (fractional)
Pt1 0.5000 0.5000 0.5000
Cl1 0.0000 0.0000 0.0000
Zr1 0.2500 0.2500 0.2500

No. 27
This record from Alexandria via LeMat-Bulk describes a geometry-optimized ZrPtCl structure. The functional is PBE.

Computed properties:
**Energy**: -5.7406 eV/atom
**Space-group type**: F-43m, No. 216
**Density**: 8.03 g/cm³
**Raw formation energy**: -262.1 meV/atom
**Crystal system**: cubic

a b c (Å): 4.5493 4.5493 4.5493
angles (deg): 60.00 60.00 60.00
Element x y z (fractional)
Pt1 0.2500 0.2500 0.2500
Zr1 0.0000 0.0000 0.0000
Cl1 0.5000 0.5000 0.5000

No. 28
This record from Alexandria via LeMat-Bulk describes a geometry-optimized Zr4PtCl structure. The functional is PBE.

Computed properties:
**Energy**: -6.6553 eV/atom
**Space-group type**: F-43m, No. 216
**Density**: 7.60 g/cm³
**Raw formation energy**: 358.1 meV/atom
**Crystal system**: cubic

a b c (Å): 5.6867 5.6867 5.6867
angles (deg): 60.00 60.00 60.00
Element x y z (fractional)
Zr1 0.3733 0.3733 0.8800
Zr2 0.3733 0.3733 0.3733
Zr3 0.8800 0.3733 0.3733
Zr4 0.3733 0.8800 0.3733
Pt1 0.0000 0.0000 0.0000
Cl1 0.7500 0.7500 0.7500

No. 29
This record from Alexandria via LeMat-Bulk describes a geometry-optimized ZrPt3Cl structure. The functional is PBE.

Computed properties:
**Energy**: -5.1300 eV/atom
**Space-group type**: Pm-3m, No. 221
**Density**: 12.31 g/cm³
**Raw formation energy**: 573.5 meV/atom
**Crystal system**: cubic

a b c (Å): 4.5797 4.5797 4.5797
angles (deg): 90.00 90.00 90.00
Element x y z (fractional)
Pt1 0.0000 0.5000 0.0000
Pt2 0.5000 0.0000 0.0000
Pt3 0.0000 0.0000 0.5000
Cl1 0.0000 0.0000 0.0000
Zr1 0.5000 0.5000 0.5000